[1]
Compound: TmPuAlHg
Source: the Alexandria database
Functional: PBE
Structure: relaxed

Computed properties:
DFT total energy: -23.68 eV/f.u.
theoretical density: 10.8 g/cm³
total magnetization: 6.10 Bohr magnetons per cell
ΔE_f: -207 meV per atom
density of states at the Fermi level: 8.6 states/eV/cell
V: 24.71 Å³/atom
symmetry: F-43m

a b c (Å): 5.1897 5.1897 5.1897
angles (deg): 60.00 60.00 60.00
Site moments in Bohr magnetons follow the coordinates.
Fractional positions:
Al 0.5000 0.5000 0.5000  -0.02
Tm 0.2500 0.2500 0.2500  0.25
Hg 0.0000 0.0000 0.0000  0.05
Pu 0.7500 0.7500 0.7500  5.42

[2]
Compound: TbCePa2
Source: the Alexandria database
Functional: PBE
Structure: relaxed

Computed properties:
DFT total energy: -28.93 eV/f.u.
theoretical density: 12.0 g/cm³
total magnetization: 0.00 Bohr magnetons per cell
offset from the most stable computed form: 0 meV per atom
ΔE_f: 157 meV per atom
density of states at the Fermi level: 7.9 states/eV/cell
V: 26.24 Å³/atom
symmetry: P4/mmm

a b c (Å): 3.1975 3.1975 10.2668
angles (deg): 90.00 90.00 90.00
Fractional positions:
Pa 0.0000 0.0000 0.7590
Pa 0.0000 0.0000 0.2410
Tb 0.5000 0.5000 0.5000
Ce 0.5000 0.5000 0.0000

[3]
Compound: Ta2CuPtRh
Source: the Alexandria database
Functional: PBE
Structure: relaxed

Computed properties:
DFT total energy: -35.33 eV/f.u.
theoretical density: 11.4 g/cm³
total magnetization: 0.00 Bohr magnetons per cell
ΔE_f: 1173 meV per atom
density of states at the Fermi level: 5.3 states/eV/cell
V: 21.14 Å³/atom
symmetry: P4/mmm

a b c (Å): 4.8219 4.5456 4.8219
angles (deg): 90.00 90.00 90.00
Fractional positions:
Rh 0.5000 0.5000 0.5000
Cu 0.0000 0.5000 0.0000
Pt 0.0000 0.0000 0.0000
Ta 0.0000 0.0000 0.5000
Ta 0.5000 0.0000 0.0000

[4]
Compound: Cu2Pd4Pt3
Source: the Alexandria database
Functional: PBE
Structure: relaxed

Computed properties:
DFT total energy: -47.54 eV/f.u.
theoretical density: 14.1 g/cm³
total magnetization: 0.00 Bohr magnetons per cell
offset from the most stable computed form: 30 meV per atom
ΔE_f: -50 meV per atom
density of states at the Fermi level: 15.0 states/eV/cell
V: 14.89 Å³/atom
symmetry: C2/m

a b c (Å): 2.7433 7.2850 6.9956
angles (deg): 82.47 78.69 79.15
Fractional positions:
Cu 0.2933 0.0800 0.3334
Cu 0.7067 0.9200 0.6666
Pd 0.3329 0.3306 0.0037
Pd 0.6671 0.6694 0.9963
Pd 0.0472 0.2410 0.6645
Pd 0.9528 0.7590 0.3355
Pt 0.3718 0.5925 0.6639
Pt 0.0000 0.0000 0.0000
Pt 0.6282 0.4075 0.3361

[5]
Compound: SbPbSe2
Source: the Alexandria database
Functional: PBE
Structure: relaxed

Computed properties:
DFT total energy: -15.14 eV/f.u.
theoretical density: 6.3 g/cm³
total magnetization: 0.00 Bohr magnetons per cell
energy relative to the elements, uncorrected: -85 meV per atom
density of states at the Fermi level: 1.5 states/eV/cell
V: 32.18 Å³/atom
symmetry: Imm2

a b c (Å): 6.5172 6.5172 6.5172
angles (deg): 145.36 123.96 67.59
Fractional positions:
Pb 0.4345 0.4345 0.0000
Sb 0.8239 0.3239 0.5000
Se 0.9936 0.9936 0.0000
Se 0.2480 0.7480 0.5000

[6]
Compound: Be2Sn2Bi
Source: the Alexandria database
Functional: PBE
Structure: relaxed

Computed properties:
DFT total energy: -16.28 eV/f.u.
theoretical density: 7.2 g/cm³
total magnetization: 0.00 Bohr magnetons per cell
offset from the most stable computed form: 257 meV per atom
ΔE_f: 612 meV per atom
density of states at the Fermi level: 6.0 states/eV/cell
V: 21.43 Å³/atom
symmetry: P4/mbm

a b c (Å): 8.2519 8.2519 3.1472
angles (deg): 90.00 90.00 90.00
Fractional positions:
Be 0.1474 0.6474 0.5000
Be 0.6474 0.8526 0.5000
Be 0.8526 0.3526 0.5000
Be 0.3526 0.1474 0.5000
Bi 0.0000 0.0000 0.0000
Bi 0.5000 0.5000 0.0000
Sn 0.3571 0.8571 0.0000
Sn 0.8571 0.6429 0.0000
Sn 0.6429 0.1429 0.0000
Sn 0.1429 0.3571 0.0000

[7]
Compound: BiHF2
Source: the Alexandria database
Functional: PBE
Structure: relaxed

Computed properties:
DFT total energy: -14.77 eV/f.u.
theoretical density: 8.7 g/cm³
total magnetization: 0.00 Bohr magnetons per cell
offset from the most stable computed form: 444 meV per atom
density of states at the Fermi level: 1.2 states/eV/cell
V: 11.83 Å³/atom
symmetry: I4_1/amd

a b c (Å): 4.9873 4.9873 5.1873
angles (deg): 61.27 61.27 90.00
Fractional positions:
H 0.5000 0.5000 0.0000
H 0.2500 0.7500 0.5000
Bi 0.0000 0.0000 0.0000
Bi 0.7500 0.2500 0.5000
F 0.3750 0.1250 0.2500
F 0.3750 0.6250 0.2500
F 0.3750 0.6250 0.7500
F 0.8750 0.6250 0.7500

[8]
Compound: Ge2AsP
Source: the Alexandria database
Functional: PBE
Structure: relaxed

Computed properties:
DFT total energy: -17.57 eV/f.u.
theoretical density: 5.8 g/cm³
total magnetization: 0.00 Bohr magnetons per cell
offset from the most stable computed form: 311 meV per atom
ΔE_f: 430 meV per atom
density of states at the Fermi level: 1.8 states/eV/cell
V: 17.90 Å³/atom
symmetry: Fm-3m

a b c (Å): 4.6610 4.6610 4.6610
angles (deg): 60.00 60.00 60.00
Fractional positions:
P 0.0000 0.0000 0.0000
As 0.5000 0.5000 0.5000
Ge 0.2500 0.2500 0.2500
Ge 0.7500 0.7500 0.7500

[9]
Compound: ZrTaHg
Source: the Alexandria database
Functional: PBE
Structure: relaxed

Computed properties:
DFT total energy: -20.10 eV/f.u.
theoretical density: 12.3 g/cm³
total magnetization: 0.00 Bohr magnetons per cell
offset from the most stable computed form: 237 meV per atom
ΔE_f: 200 meV per atom
density of states at the Fermi level: 3.2 states/eV/cell
V: 21.31 Å³/atom
symmetry: P3m1

a b c (Å): 3.1914 3.1914 7.2483
angles (deg): 90.00 90.00 120.00
Fractional positions:
Hg 0.0000 0.0000 0.0054
Ta 0.3333 0.6667 0.3367
Zr 0.6667 0.3333 0.6579

[10]
Compound: CaAs3Au3
Source: the Alexandria database
Functional: PBE
Structure: relaxed

Computed properties:
DFT total energy: -26.38 eV/f.u.
theoretical density: 7.7 g/cm³
total magnetization: 0.00 Bohr magnetons per cell
ΔE_f: -85 meV per atom
density of states at the Fermi level: 6.0 states/eV/cell
V: 26.28 Å³/atom
symmetry: Pm-3n

a b c (Å): 7.1654 7.1654 7.1654
angles (deg): 90.00 90.00 90.00
Fractional positions:
As 0.2500 0.0000 0.5000
As 0.0000 0.5000 0.2500
As 0.5000 0.7500 0.0000
As 0.7500 0.0000 0.5000
As 0.0000 0.5000 0.7500
As 0.5000 0.2500 0.0000
Au 0.0000 0.2500 0.5000
Au 0.0000 0.7500 0.5000
Au 0.5000 0.0000 0.7500
Au 0.7500 0.5000 0.0000
Au 0.5000 0.0000 0.2500
Au 0.2500 0.5000 0.0000
Ca 0.5000 0.5000 0.5000
Ca 0.0000 0.0000 0.0000

[11]
Compound: MgScMo2
Source: the Alexandria database
Functional: PBE
Structure: relaxed

Computed properties:
DFT total energy: -28.62 eV/f.u.
theoretical density: 6.0 g/cm³
total magnetization: 0.00 Bohr magnetons per cell
ΔE_f: 243 meV per atom
density of states at the Fermi level: 2.8 states/eV/cell
V: 18.00 Å³/atom
symmetry: P2/m

a b c (Å): 4.7820 2.7847 5.5340
angles (deg): 77.76 90.00 90.00
Fractional positions:
Mg 0.5000 0.7500 0.7500
Mo 0.0000 0.9542 0.0220
Mo 0.0000 0.5458 0.4780
Sc 0.5000 0.2500 0.2500

[12]
Compound: Zr2Ir
Source: the Alexandria database
Functional: PBE
Structure: relaxed

Computed properties:
DFT total energy: -27.25 eV/f.u.
theoretical density: 10.9 g/cm³
total magnetization: 0.00 Bohr magnetons per cell
ΔE_f: -431 meV per atom
density of states at the Fermi level: 2.7 states/eV/cell
V: 19.07 Å³/atom
symmetry: P-3m1

a b c (Å): 4.6311 4.6311 3.0805
angles (deg): 90.00 90.00 120.00
Fractional positions:
Ir 0.0000 0.0000 0.0000
Zr 0.3333 0.6667 0.3112
Zr 0.6667 0.3333 0.6888